{"formula": "ReMo3F", "functional": "PBE with a Hubbard U", "state": "relaxed", "lattice": [[4.205, 0.000, 0.000], [0.000, 4.205, 0.000], [0.000, 0.000, 4.205]], "species": ["Re", "Mo", "Mo", "Mo", "F"], "fractional_positions": [[0.000, 0.000, 0.000], [0.000, 0.500, 0.500], [0.500, 0.000, 0.500], [0.500, 0.500, 0.000], [0.500, 0.500, 0.500]], "dft_energy_ev_per_fu": -29.095, "de_polymorph_ev_per_atom": 0.000}